Entry 1:
ZnGeSeO | PBE-GGA | optimized geometry

Cell lengths 5.5832, 6.8431, 8.0020 Å; angles 90.00, 90.00, 90.00 degrees
Last column: nearest neighbours and their distance in Å.
Space group P2_12_12_1 (No. 19)
Symmetry-distinct sites (fractional):
Zn 0.0261 0.1136 0.0974  1 O 2.02
Ge 0.0613 0.1393 0.4086  2 O 1.88-1.92
Se 0.0781 0.3852 0.8988  1 Ge 2.45, 2 Zn 2.46-2.50
O 0.1301 0.8472 0.0147  2 Ge 1.88-1.92, 1 Zn 2.02

ΔE to the lowest computed polymorph = 0.0000 eV/atom

=====

Entry 2:
Pr3Al | PBE-GGA | optimized geometry

Cell lengths 4.8741, 4.8741, 10.1149 Å; angles 90.00, 90.00, 90.00 degrees
Last column: nearest neighbours and their distance in Å.
Space group I4/mmm (No. 139)
Symmetry-distinct sites (fractional):
Pr 0.0000 0.0000 0.0000  4 Al 3.45, 8 Pr 3.51
Pr 0.0000 0.5000 0.2500  8 Pr 3.45-3.51, 4 Al 3.51
Al 0.0000 0.0000 0.5000  12 Pr 3.45-3.51

ΔE to the lowest computed polymorph = 0.0283 eV/atom
size of the total moment = 0.011 μB per atom

=====

Entry 3:
KZrTeAuS2 | PBE-GGA | optimized geometry

Cell lengths 3.8710, 15.8225, 10.6259 Å; angles 90.00, 90.00, 90.00 degrees
Last column: nearest neighbours and their distance in Å.
Space group Cmcm (No. 63)
Symmetry-distinct sites (fractional):
K 0.0000 0.2152 0.2500  4 S 3.34, 2 Au 3.50, 2 Te 3.56
Zr 0.0000 0.0000 0.0000  4 S 2.63
Te 0.0000 0.0959 0.7500  2 Au 2.79, 2 Zr 3.06
Au 0.0000 0.4694 0.7500  2 S 2.45
S 0.0000 0.3923 0.5499  1 Au 2.45, 2 Zr 2.63

energy = -5.026 eV/atom
size of the total moment = 0.000 μB per atom

=====

Entry 4:
LaNdNO | PBE-GGA | optimized geometry

Cell lengths 4.0116, 6.9644, 5.9806 Å; angles 90.00, 90.00, 90.00 degrees
Last column: nearest neighbours and their distance in Å.
Space group Pmc2_1 (No. 26)
Symmetry-distinct sites (fractional):
La 0.0000 0.1624 0.0000  2 N 2.37-2.44, 2 O 2.44
Nd 0.5000 0.3328 0.5023  2 O 2.33-2.38, 2 N 2.37
N 0.0000 0.1693 0.4087  2 Nd 2.37, 2 La 2.37-2.44
O 0.5000 0.3386 0.8925  2 Nd 2.33-2.38, 2 La 2.44

ΔE to the lowest computed polymorph = 0.1137 eV/atom
size of the total moment = 0.008 μB per atom

=====

Repeat the second record exactly.
Pr3Al | PBE-GGA | optimized geometry

Cell lengths 4.8741, 4.8741, 10.1149 Å; angles 90.00, 90.00, 90.00 degrees
Last column: nearest neighbours and their distance in Å.
Space group I4/mmm (No. 139)
Symmetry-distinct sites (fractional):
Pr 0.0000 0.0000 0.0000  4 Al 3.45, 8 Pr 3.51
Pr 0.0000 0.5000 0.2500  8 Pr 3.45-3.51, 4 Al 3.51
Al 0.0000 0.0000 0.5000  12 Pr 3.45-3.51

ΔE to the lowest computed polymorph = 0.0283 eV/atom
size of the total moment = 0.011 μB per atom

=====

Question: Which formula does entry 4 have?
Answer: LaNdNO